An optimized crystal structure of Li3TlRh, computed with GGA-PBE.

Properties
Size of the total moment (μB per formula unit): 0.0
ΔE to the lowest computed polymorph (meV per atom): 0
DFT total energy (eV/atom): -3.2422

abc: 6.959 5.815 9.522
angles: 90.00 121.87 90.00
Space group P2_1/c (No. 14)
One atom of each set of equivalent atoms:
Li: 0.011 0.119 0.245
Li: 0.176 0.635 0.043
Li: 0.406 0.631 0.839
Tl: 0.386 0.142 0.839
Rh: 0.194 0.113 0.039

=====

An optimized crystal structure of Li3Tl3Rh, computed with GGA-PBE.

Properties
Size of the total moment (μB per formula unit): 0.0
DFT total energy (eV/atom): -2.9893

abc: 3.183 4.511 18.995
angles: 90.00 90.00 90.00
Space group Imm2 (No. 44)
One atom of each set of equivalent atoms:
Li: 0.000 0.000 0.000
Li: 0.000 0.000 0.287
Li: 0.000 0.500 0.084
Tl: 0.000 0.000 0.447
Tl: 0.000 0.000 0.842
Tl: 0.000 0.500 0.654
Rh: 0.000 0.500 0.216

=====

| no. | calculated formation energy (meV per atom) |
| --- | --- |
| 1 | -150 |
| 2 | -105 |